--- one ---
VSbTe2I: optimized geometry, PBE.

Summary:
- calculated density (g cm⁻³) = 6.411

a b c (Å): 5.122 5.122 5.477
angles (deg): 90.00 90.00 90.00
Space group P4/mmm (No. 123)
Asymmetric unit:
V1 0.000 0.000 0.000 (multiplicity 1)
Sb1 0.000 0.000 0.500 (multiplicity 1)
Te1 0.000 0.500 0.000 (multiplicity 2)
I1 0.500 0.500 0.500 (multiplicity 1)

=====

--- two ---
VSbTe2I: optimized geometry, PBE.

Summary:
- calculated density (g cm⁻³) = 4.751

a b c (Å): 5.809 5.809 5.747
angles (deg): 90.00 90.00 90.00
Space group P4/mmm (No. 123)
Asymmetric unit:
V1 0.000 0.000 0.000 (multiplicity 1)
Sb1 0.500 0.500 0.500 (multiplicity 1)
Te1 0.000 0.500 0.500 (multiplicity 2)
I1 0.500 0.500 0.000 (multiplicity 1)

=====

What should be chosen as the least stable of them? Choose two.